Compound: KBe2Te
Source: the Alexandria database
Functional: GGA-PBE
Structure: optimized geometry

Cell and atoms, written as POSCAR:
```
KBe2Te
1.0
7.980 0.018 0.011
6.976 3.876 0.011
6.976 1.816 3.424
Te Be K
1 2 1
Direct
0.750 0.750 0.750
0.029 0.029 0.029
0.471 0.471 0.471
0.250 0.250 0.250
```


Compound: KBeTe2
Source: the Alexandria database
Functional: GGA-PBE
Structure: optimized geometry

Cell and atoms, written as POSCAR:
```
KBeTe2
1.0
3.665 0.000 0.000
0.000 3.665 0.000
0.000 0.000 8.833
Te K Be
2 1 1
Direct
0.500 0.500 0.360
0.000 0.000 0.720
0.500 0.500 0.974
0.000 0.000 0.446
```


Compound: KBe2Te
Source: the Alexandria database
Functional: GGA-PBE
Structure: optimized geometry

Cell and atoms, written as POSCAR:
```
KBe2Te
1.0
5.883 -0.015 0.007
1.681 5.638 -0.007
-2.892 -4.007 3.191
Te K Be
1 1 2
Direct
0.250 0.750 0.500
0.750 0.250 0.500
0.067 0.067 0.000
0.433 0.433 0.000
```


Compound: KBeTe2
Source: the Alexandria database
Functional: GGA-PBE
Structure: optimized geometry

Cell and atoms, written as POSCAR:
```
KBeTe2
1.0
6.645 0.000 0.000
0.000 6.645 0.000
3.322 3.322 6.690
K Be Te
2 2 4
Direct
0.750 0.250 0.500
0.000 0.000 0.000
0.250 0.750 0.500
0.500 0.500 0.000
0.375 0.541 0.750
0.459 0.125 0.250
0.291 0.625 0.250
0.875 0.709 0.750
```


Compound: K2BeTe
Source: the Alexandria database
Functional: GGA-PBE
Structure: optimized geometry

E above lowest polymorph: 261.5 meV/atom

Cell and atoms, written as POSCAR:
```
K2BeTe
1.0
-4.070 -3.455 -0.748
3.290 -4.167 0.932
-1.019 0.214 4.555
Be K Te
1 2 1
Direct
0.000 0.500 0.500
0.000 0.000 0.000
0.500 0.500 0.000
0.500 0.000 0.500
```


Compound: KBeTe2
Source: the Alexandria database
Functional: GGA-PBE
Structure: optimized geometry

Cell and atoms, written as POSCAR:
```
KBeTe2
1.0
-3.713 -1.178 7.875
-4.215 -5.696 5.195
6.285 2.722 -5.503
Te Be K
2 1 1
Direct
0.660 0.160 0.500
0.978 0.978 0.000
0.560 0.560 0.000
0.302 0.802 0.500
```


What are the raw formation energy values for these records? In order: 609 -206 696 -371 92 -129 meV/atom.
What are the Fermi-level density of states values for these records? In order: 1.85 2.12 1.99 4.25 1.19 2.06 states/eV/cell.